[1]
DFT (PBE-GGA) results for an optimized crystal structure of Ho5Sc2Al4.

CIF file:
```
data_Ho5Sc2Al4
_chemical_formula_sum 'Ho10 Sc4 Al8'
_symmetry_space_group_name_H-M 'I m m m'
_symmetry_Int_Tables_number 71
_symmetry_space_group_name_Hall '-I 2 2'
_cell_length_a 5.089
_cell_length_b 10.156
_cell_length_c 12.169
_cell_angle_alpha 90.00
_cell_angle_beta 90.00
_cell_angle_gamma 90.00
loop_
_atom_site_label
_atom_site_type_symbol
_atom_site_fract_x
_atom_site_fract_y
_atom_site_fract_z
Ho1 Ho 0.000 0.000 0.000
Ho2 Ho 0.000 0.158 0.288
Sc1 Sc 0.000 0.500 0.325
Al1 Al 0.000 0.318 0.500
Al2 Al 0.000 0.500 0.106
```

=====

[2]
DFT (PBE-GGA) results for an optimized crystal structure of Fe2CuPt2.

CIF file:
```
data_Fe2CuPt2
_chemical_formula_sum 'Fe4 Cu2 Pt4'
_symmetry_space_group_name_H-M 'P 4/m b m'
_symmetry_Int_Tables_number 127
_symmetry_space_group_name_Hall '-P 4 2ab'
_cell_length_a 7.257
_cell_length_b 7.257
_cell_length_c 2.648
_cell_angle_alpha 90.00
_cell_angle_beta 90.00
_cell_angle_gamma 90.00
loop_
_atom_site_label
_atom_site_type_symbol
_atom_site_fract_x
_atom_site_fract_y
_atom_site_fract_z
Fe1 Fe 0.113 0.387 0.000
Cu1 Cu 0.000 0.000 0.500
Pt1 Pt 0.182 0.682 0.500
```

=====

[3]
DFT (PBE-GGA) results for an optimized crystal structure of KZrCr2.

CIF file:
```
data_KZrCr2
_chemical_formula_sum 'K4 Zr4 Cr8'
_symmetry_space_group_name_H-M 'F m -3 m'
_symmetry_Int_Tables_number 225
_symmetry_space_group_name_Hall '-F 4 2 3'
_cell_length_a 7.106
_cell_length_b 7.106
_cell_length_c 7.106
_cell_angle_alpha 90.00
_cell_angle_beta 90.00
_cell_angle_gamma 90.00
loop_
_atom_site_label
_atom_site_type_symbol
_atom_site_fract_x
_atom_site_fract_y
_atom_site_fract_z
K1 K 0.000 0.000 0.000
Zr1 Zr 0.000 0.000 0.500
Cr1 Cr 0.250 0.250 0.250
```

=====

[4]
DFT (PBE-GGA) results for an optimized crystal structure of Pm5Y6Pu.

CIF file:
```
data_Pm5Y6Pu
_chemical_formula_sum 'Pm10 Y12 Pu2'
_symmetry_space_group_name_H-M 'C 1 2/m 1'
_symmetry_Int_Tables_number 12
_cell_length_a 6.232
_cell_length_b 10.790
_cell_length_c 11.819
_cell_angle_alpha 90.00
_cell_angle_beta 100.10
_cell_angle_gamma 90.00
loop_
_symmetry_equiv_pos_as_xyz
'x,y,z'
'-x,-y,-z'
'-x,y,-z'
'x,-y,z'
'x+1/2,y+1/2,z'
'-x+1/2,-y+1/2,-z'
'-x+1/2,y+1/2,-z'
'x+1/2,-y+1/2,z'
loop_
_atom_site_label
_atom_site_type_symbol
_atom_site_fract_x
_atom_site_fract_y
_atom_site_fract_z
Pm1 Pm 0.000 0.000 0.000
Pm2 Pm 0.000 0.167 0.500
Pm3 Pm 0.000 0.333 0.000
Y1 Y 0.246 0.500 0.253
Y2 Y 0.247 0.335 0.747
Pu1 Pu 0.000 0.500 0.500
```

=====

[5]
# NaCa3Ho2Te6, optimized geometry, DFT PBE-GGA
data_NaCa3Ho2Te6
_chemical_formula_sum 'Na2 Ca6 Ho4 Te12'
_symmetry_space_group_name_H-M 'C 1 2/m 1'
_symmetry_Int_Tables_number 12
_cell_length_a 7.726
_cell_length_b 13.368
_cell_length_c 7.710
_cell_angle_alpha 90.00
_cell_angle_beta 109.51
_cell_angle_gamma 90.00
loop_
_symmetry_equiv_pos_as_xyz
'x,y,z'
'-x,-y,-z'
'-x,y,-z'
'x,-y,z'
'x+1/2,y+1/2,z'
'-x+1/2,-y+1/2,-z'
'-x+1/2,y+1/2,-z'
'x+1/2,-y+1/2,z'
loop_
_atom_site_label
_atom_site_type_symbol
_atom_site_fract_x
_atom_site_fract_y
_atom_site_fract_z
Na1 Na 0.000 0.000 0.000
Ca1 Ca 0.000 0.164 0.500
Ca2 Ca 0.000 0.500 0.500
Ho1 Ho 0.000 0.333 0.000
Te1 Te 0.240 0.500 0.242
Te2 Te 0.248 0.329 0.756
# E_form (uncorrected)   -1455 meV/atom

=====

[6]
DFT (PBE-GGA) results for an optimized crystal structure of Pd6Pb.

CIF file:
```
data_Pd6Pb
_chemical_formula_sum 'Pd12 Pb2'
_symmetry_space_group_name_H-M 'I m -3 m'
_symmetry_Int_Tables_number 229
_symmetry_space_group_name_Hall '-I 4 2 3'
_cell_length_a 7.037
_cell_length_b 7.037
_cell_length_c 7.037
_cell_angle_alpha 90.00
_cell_angle_beta 90.00
_cell_angle_gamma 90.00
loop_
_atom_site_label
_atom_site_type_symbol
_atom_site_fract_x
_atom_site_fract_y
_atom_site_fract_z
Pd1 Pd 0.000 0.250 0.500
Pb1 Pb 0.000 0.000 0.000
```

=====

[7]
DFT (PBE-GGA) results for an optimized crystal structure of BaNaInPb2.

CIF file:
```
data_BaNaInPb2
_chemical_formula_sum 'Ba2 Na2 In2 Pb4'
_symmetry_space_group_name_H-M 'I -4 m 2'
_symmetry_Int_Tables_number 119
_symmetry_space_group_name_Hall 'I -4 -2'
_cell_length_a 4.983
_cell_length_b 4.983
_cell_length_c 13.836
_cell_angle_alpha 90.00
_cell_angle_beta 90.00
_cell_angle_gamma 90.00
loop_
_atom_site_label
_atom_site_type_symbol
_atom_site_fract_x
_atom_site_fract_y
_atom_site_fract_z
Ba1 Ba 0.000 0.000 0.000
Na1 Na 0.000 0.500 0.750
In1 In 0.000 0.500 0.250
Pb1 Pb 0.000 0.000 0.389
```

=====

[8]
DFT (PBE-GGA) results for an optimized crystal structure of CoIrRh.

CIF file:
```
data_CoIrRh
_chemical_formula_sum 'Co2 Ir2 Rh2'
_symmetry_space_group_name_H-M 'P -1'
_symmetry_Int_Tables_number 2
_cell_length_a 2.688
_cell_length_b 4.997
_cell_length_c 6.681
_cell_angle_alpha 71.00
_cell_angle_beta 78.46
_cell_angle_gamma 74.49
loop_
_symmetry_equiv_pos_as_xyz
'x,y,z'
'-x,-y,-z'
loop_
_atom_site_label
_atom_site_type_symbol
_atom_site_fract_x
_atom_site_fract_y
_atom_site_fract_z
Co1 Co 0.145 0.232 0.478
Ir1 Ir 0.438 0.350 0.777
Rh1 Rh 0.149 0.846 0.853
```

=====

We obtain VASP energy values of -97.46 -63.42 -94.91 -152.67 -105.58 -58.47 -29.91 -46.12 eV/cell for the records listed above, in that order.